This record from the Alexandria database describes a PBEsol-optimized structure of Ce2Pd3Rh3. The functional is SCAN.

Results
Crystal system   orthorhombic
Magnetization   0.0 μB per cell
VASP energy   -36.83 eV/atom
E_form   -5.85 eV/f.u.

Lattice parameters (Å, degrees): 4.0363 4.1219 7.8813 90.00 90.00 90.00
With the nearest neighbours (Å) after each atom.
Atoms (fractional coordinates):
Ce 0.0000 0.0000 0.2451  6 Rh 2.79-2.85, 6 Pd 2.88
Ce 0.0000 0.0000 0.7549  6 Rh 2.79-2.85, 6 Pd 2.88
Pd 0.0000 0.5000 0.5000  4 Pd 2.82, 4 Ce 2.88, 4 Rh 2.88
Pd 0.5000 0.5000 0.2497  6 Rh 2.82-2.85, 2 Pd 2.82, 4 Ce 2.88
Pd 0.5000 0.5000 0.7503  6 Rh 2.82-2.85, 2 Pd 2.82, 4 Ce 2.88
Rh 0.0000 0.5000 0.0000  4 Pd 2.82, 4 Ce 2.82, 4 Rh 2.88
Rh 0.5000 0.0000 0.0000  4 Ce 2.79, 4 Pd 2.85, 4 Rh 2.88
Rh 0.5000 0.0000 0.5000  4 Ce 2.85, 8 Pd 2.85-2.88

=====

This record from the Alexandria database describes a PBEsol-optimized structure of Tc2HgPb. The functional is SCAN.

Results
Crystal system   trigonal
Magnetization   0.0 μB per cell
VASP energy   -53.06 eV/atom
E_form   1.82 eV/f.u.

Lattice parameters (Å, degrees): 9.9349 9.9349 9.9349 17.22 17.22 17.22
With the nearest neighbours (Å) after each atom.
Atoms (fractional coordinates):
Tc 0.0000 0.0000 0.0000  3 Tc 2.54
Tc 0.2694 0.2694 0.2694  3 Tc 2.54
Hg 0.7485 0.7485 0.7485  3 Tc 2.95, 6 Hg 2.97
Pb 0.5178 0.5178 0.5178  6 Pb 2.97, 3 Tc 3.03